A relaxed structure of Ni2AgRh, computed with PBE.

For the total energy, the calculation gives -5.246 eV/atom. The size of the total moment comes out at 6.44 μB per cell. The formation energy is 0.780 eV/f.u.

It has space group R3m (No. 160, hexagonal axes), with a = 2.7007 Å, b = 2.7007 Å, c = 26.0232 Å, α = 90.00°, β = 90.00° and γ = 120.00°. The distinct sites, in fractional coordinates, are Ni at (0.0000, 0.0000, 0.0000), Ni at (0.0000, 0.0000, 0.2597), Ag at (0.0000, 0.0000, 0.5062) and Rh at (0.0000, 0.0000, 0.7452).

A relaxed structure of SrAs2PdO6, computed with PBE.

As for the formation energy from raw total energies: -1.20 eV/atom. For the total energy, the calculation gives -5.795 eV/atom. The size of the total moment comes out at 0.00 μB per cell.

It has space group R-3 (No. 148, hexagonal axes), with a = 5.4341 Å, b = 5.4341 Å, c = 17.3139 Å, α = 90.00°, β = 90.00° and γ = 120.00°. The distinct sites, in fractional coordinates, are Sr at (0.0000, 0.0000, 0.0000), As at (0.0000, 0.0000, 0.2676), Pd at (0.0000, 0.0000, 0.5000) and O at (0.9998, 0.3755, 0.0959).

A relaxed structure of La3Nd2Er8, computed with PBE.

For the total energy, the calculation gives -4.419 eV/atom. The size of the total moment comes out at 0.00 μB per cell. The formation energy is 3.374 eV/f.u.

It has space group C2/m (No. 12), with a = 20.519 Å, b = 7.717 Å, c = 5.627 Å, α = 90.00°, β = 90.06° and γ = 90.00°. The distinct sites, in fractional coordinates, are La at (0.000, 0.000, 0.000), La at (0.000, 0.300, 0.500), Nd at (0.241, 0.000, 0.998), Er at (0.109, 0.291, 0.000), Er at (0.134, 0.000, 0.499) and Er at (0.167, 0.500, 0.501).

A relaxed structure of Zr2SiSb, computed with PBE.

As for the formation energy from raw total energies: -0.53 eV/atom. For the total energy, the calculation gives -7.189 eV/atom. The size of the total moment comes out at 0.00 μB per cell.

It has space group P4mm (No. 99), with a = 3.917 Å, b = 3.917 Å, c = 5.814 Å, α = 90.00°, β = 90.00° and γ = 90.00°. The distinct sites, in fractional coordinates, are Zr at (0.000, 0.000, 0.000), Zr at (0.500, 0.500, 0.382), Si at (0.500, 0.500, 0.915) and Sb at (0.000, 0.000, 0.505).

A relaxed structure of K2ThU3O12, computed with PBE.

As for the formation energy from raw total energies: -3.04 eV/atom. For the total energy, the calculation gives -8.758 eV/atom. The size of the total moment comes out at 0.00 μB per cell.

It has space group R-3m (No. 166, hexagonal axes), with a = 8.0973 Å, b = 8.0973 Å, c = 19.6699 Å, α = 90.00°, β = 90.00° and γ = 120.00°. The distinct sites, in fractional coordinates, are K at (0.0000, 0.0000, 0.1803), Th at (0.0000, 0.0000, 0.5000), U at (0.0000, 0.5000, 0.0000), O at (0.0580, 0.5290, 0.1012) and O at (0.0927, 0.5463, 0.3518).

A relaxed structure of Zr2TiS5, computed with PBE.

As for the formation energy from raw total energies: -1.17 eV/atom. For the total energy, the calculation gives -6.875 eV/atom. The size of the total moment comes out at 2.84 μB per cell.

It has space group Fmmm (No. 69), with a = 4.653 Å, b = 12.234 Å, c = 13.398 Å, α = 90.00°, β = 90.00° and γ = 90.00°. The distinct sites, in fractional coordinates, are Zr at (0.000, 0.000, 0.182), Ti at (0.000, 0.000, 0.500), S at (0.000, 0.000, 0.000) and S at (0.000, 0.124, 0.344).

- Which value of size of the total moment does entry 5 give?
  0.00 μB per cell